1.
# Tb3Pr6Nd2Sm PBE relaxed
data_Tb3Pr6Nd2Sm
_space_group_name_H-M_alt 'C 1 2/m 1'
_space_group_IT_number 12
_space_group_name_Hall '-C 2y'
_cell_length_a 6.361
_cell_length_b 11.023
_cell_length_c 12.079
_cell_angle_alpha 90.00
_cell_angle_beta 100.12
_cell_angle_gamma 90.00
loop_
_atom_site_label
_atom_site_type_symbol
_atom_site_fract_x
_atom_site_fract_y
_atom_site_fract_z
Tb1 Tb 0.000 0.000 0.000
Tb2 Tb 0.000 0.333 0.000
Pr1 Pr 0.249 0.166 0.247
Pr2 Pr 0.249 0.500 0.247
Nd1 Nd 0.000 0.167 0.500
Sm1 Sm 0.000 0.500 0.500
# Crystal system ... monoclinic
# Formation energy from the elements ... 0.0123 eV per atom
# Uncorrected energy ... -113.350 eV/cell
# Density ... 7015 kg/m³


2.
# LiHg2Ge2 PBE relaxed
data_LiHg2Ge2
_space_group_name_H-M_alt 'I 4/m m m'
_space_group_IT_number 139
_space_group_name_Hall '-I 4 2'
_cell_length_a 3.701
_cell_length_b 3.701
_cell_length_c 16.257
_cell_angle_alpha 90.00
_cell_angle_beta 90.00
_cell_angle_gamma 90.00
loop_
_atom_site_label
_atom_site_type_symbol
_atom_site_fract_x
_atom_site_fract_y
_atom_site_fract_z
Li1 Li 0.000 0.000 0.000
Hg1 Hg 0.000 0.000 0.406
Ge1 Ge 0.000 0.500 0.250
# Crystal system ... tetragonal
# Formation energy from the elements ... 0.0488 eV per atom
# ΔE to the lowest computed polymorph ... 0.000 eV/atom
# Uncorrected energy ... -23.016 eV/cell
# Density ... 8254 kg/m³


3.
# RbHg3Pd PBE relaxed
data_RbHg3Pd
_space_group_name_H-M_alt 'C 1 m 1'
_space_group_IT_number 8
_space_group_name_Hall 'C -2y'
_cell_length_a 13.369
_cell_length_b 6.989
_cell_length_c 6.643
_cell_angle_alpha 90.00
_cell_angle_beta 102.27
_cell_angle_gamma 90.00
loop_
_atom_site_label
_atom_site_type_symbol
_atom_site_fract_x
_atom_site_fract_y
_atom_site_fract_z
Rb1 Rb 0.000 0.000 0.000
Rb2 Rb 0.237 0.500 0.379
Hg1 Hg 0.239 0.227 0.851
Hg2 Hg 0.272 0.000 0.301
Hg3 Hg 0.477 0.000 0.125
Hg4 Hg 0.497 0.272 0.516
Pd1 Pd 0.091 0.500 0.818
Pd2 Pd 0.380 0.000 0.707
# Crystal system ... monoclinic
# Formation energy from the elements ... -0.1940 eV per atom
# ΔE to the lowest computed polymorph ... 0.062 eV/atom
# Uncorrected energy ... -32.142 eV/cell
# Density ... 8691 kg/m³


4.
# GaSi2HS PBE relaxed
data_GaSi2HS
_space_group_name_H-M_alt 'P 1'
_space_group_IT_number 1
_space_group_name_Hall 'P 1'
_cell_length_a 3.769
_cell_length_b 3.769
_cell_length_c 8.859
_cell_angle_alpha 102.08
_cell_angle_beta 90.10
_cell_angle_gamma 119.99
loop_
_atom_site_label
_atom_site_type_symbol
_atom_site_fract_x
_atom_site_fract_y
_atom_site_fract_z
Ga1 Ga 0.000 0.000 0.000
Si1 Si 0.542 0.087 0.626
Si2 Si 0.907 0.815 0.719
H1 H 0.484 0.972 0.451
S1 S 0.706 0.412 0.119
# Crystal system ... triclinic
# ΔE to the lowest computed polymorph ... 0.001 eV/atom
# Uncorrected energy ... -22.510 eV/cell
# Density ... 2496 kg/m³


5.
# SbPOs2 PBE relaxed
data_SbPOs2
_space_group_name_H-M_alt 'P m m 2'
_space_group_IT_number 25
_space_group_name_Hall 'P 2 -2'
_cell_length_a 3.088
_cell_length_b 4.556
_cell_length_c 4.706
_cell_angle_alpha 90.00
_cell_angle_beta 90.00
_cell_angle_gamma 90.00
loop_
_atom_site_label
_atom_site_type_symbol
_atom_site_fract_x
_atom_site_fract_y
_atom_site_fract_z
Sb1 Sb 0.000 0.000 0.000
P1 P 0.500 0.500 0.320
Os1 Os 0.000 0.500 0.691
Os2 Os 0.500 0.000 0.498
# Crystal system ... orthorhombic
# ΔE to the lowest computed polymorph ... 0.113 eV/atom
# Uncorrected energy ... -31.157 eV/cell
# Raw formation energy ... 20 kJ per mole of atoms
# Density ... 13372 kg/m³


6.
# Pa6Tc2Ir PBE relaxed
data_Pa6Tc2Ir
_space_group_name_H-M_alt 'P 1 21/c 1'
_space_group_IT_number 14
_space_group_name_Hall '-P 2ybc'
_cell_length_a 5.876
_cell_length_b 7.085
_cell_length_c 11.441
_cell_angle_alpha 90.00
_cell_angle_beta 118.35
_cell_angle_gamma 90.00
loop_
_atom_site_label
_atom_site_type_symbol
_atom_site_fract_x
_atom_site_fract_y
_atom_site_fract_z
Pa1 Pa 0.060 0.212 0.435
Pa2 Pa 0.263 0.647 0.449
Pa3 Pa 0.415 0.065 0.244
Tc1 Tc 0.167 0.101 0.737
Ir1 Ir 0.500 0.000 0.500
# Crystal system ... monoclinic
# Formation energy from the elements ... -0.1522 eV per atom
# Uncorrected energy ... -175.877 eV/cell
# Density ... 14059 kg/m³


7.
# Np2NiSe5 PBE relaxed
data_Np2NiSe5
_space_group_name_H-M_alt 'C m c m'
_space_group_IT_number 63
_space_group_name_Hall '-C 2c 2'
_cell_length_a 5.621
_cell_length_b 12.726
_cell_length_c 12.274
_cell_angle_alpha 90.00
_cell_angle_beta 90.00
_cell_angle_gamma 90.00
loop_
_atom_site_label
_atom_site_type_symbol
_atom_site_fract_x
_atom_site_fract_y
_atom_site_fract_z
Np1 Np 0.000 0.157 0.074
Ni1 Ni 0.000 0.197 0.750
Se1 Se 0.000 0.053 0.625
Se2 Se 0.000 0.297 0.250
Se3 Se 0.000 0.323 0.591
# Crystal system ... orthorhombic
# Uncorrected energy ... -218.371 eV/cell
# Raw formation energy ... -66 kJ per mole of atoms
# Density ... 7016 kg/m³


8.
# Sc4GeC PBE relaxed
data_Sc4GeC
_space_group_name_H-M_alt 'C 1 2/c 1'
_space_group_IT_number 15
_space_group_name_Hall '-C 2yc'
_cell_length_a 7.700
_cell_length_b 12.791
_cell_length_c 5.836
_cell_angle_alpha 90.00
_cell_angle_beta 124.30
_cell_angle_gamma 90.00
loop_
_atom_site_label
_atom_site_type_symbol
_atom_site_fract_x
_atom_site_fract_y
_atom_site_fract_z
Sc1 Sc 0.138 0.202 0.153
Sc2 Sc 0.234 0.045 0.704
Ge1 Ge 0.000 0.377 0.750
C1 C 0.000 0.065 0.250
# Crystal system ... monoclinic
# Formation energy from the elements ... -0.4669 eV per atom
# Uncorrected energy ... -167.876 eV/cell
# Density ... 3700 kg/m³


9.
# LuHfSn PBE relaxed
data_LuHfSn
_space_group_name_H-M_alt 'P 3 m 1'
_space_group_IT_number 156
_space_group_name_Hall 'P 3 -2"'
_cell_length_a 5.0024
_cell_length_b 5.0024
_cell_length_c 3.4179
_cell_angle_alpha 90.00
_cell_angle_beta 90.00
_cell_angle_gamma 120.00
loop_
_atom_site_label
_atom_site_type_symbol
_atom_site_fract_x
_atom_site_fract_y
_atom_site_fract_z
Lu1 Lu 0.0000 0.0000 0.0000
Hf1 Hf 0.3333 0.6667 0.4575
Sn1 Sn 0.6667 0.3333 0.6349
# Crystal system ... trigonal
# Formation energy from the elements ... -0.1101 eV per atom
# ΔE to the lowest computed polymorph ... 0.159 eV/atom
# Uncorrected energy ... -18.807 eV/cell
# Density ... 10585 kg/m³